Computed, not measured: KCd2Te after structural relaxation at the GGA-PBE level of DFT.

Cell lengths 3.287, 6.041, 6.097 Å; angles 90.00, 90.00, 90.00 degrees
Element x y z (fractional)
K  0.000  0.000  0.000
Cd  0.500  0.500  0.253
Cd  0.500  0.500  0.747
Te  0.500  0.000  0.500

Properties
As for the uncorrected formation energy: -223 meV/atom. As for the total DFT energy (no corrections): -1.74 eV/atom.

=====

Computed, not measured: RbCuAs2Au after structural relaxation at the GGA-PBE level of DFT.

Cell lengths 5.697, 5.697, 5.722 Å; angles 90.00, 90.00, 90.00 degrees
Element x y z (fractional)
Rb  0.000  0.000  0.000
Cu  0.500  0.500  0.500
As  0.000  0.500  0.000
As  0.500  0.000  0.000
Au  0.000  0.000  0.500

Properties
As for the total DFT energy (no corrections): -1.64 eV/atom. The formation energy from the elements is 1.89 eV per atom.

=====

Computed, not measured: CsKBa2In after structural relaxation at the GGA-PBE level of DFT.

Cell lengths 6.902, 6.902, 7.301 Å; angles 90.00, 90.00, 90.00 degrees
Element x y z (fractional)
Cs  0.000  0.000  0.000
K  0.500  0.500  0.000
Ba  0.000  0.500  0.500
Ba  0.500  0.000  0.500
In  0.500  0.500  0.500

Properties
As for the total DFT energy (no corrections): -1.70 eV/atom. The formation energy from the elements is 0.01 eV per atom.

=====

Computed, not measured: Tl3Sn3Bi after structural relaxation at the GGA-PBE level of DFT.

Cell lengths 8.219, 8.219, 8.219 Å; angles 90.00, 90.00, 90.00 degrees
Element x y z (fractional)
Tl  0.000  0.250  0.500
Tl  0.000  0.750  0.500
Tl  0.250  0.500  0.000
Tl  0.500  0.000  0.250
Tl  0.500  0.000  0.750
Tl  0.750  0.500  0.000
Sn  0.000  0.500  0.250
Sn  0.000  0.500  0.750
Sn  0.250  0.000  0.500
Sn  0.500  0.250  0.000
Sn  0.500  0.750  0.000
Sn  0.750  0.000  0.500
Bi  0.000  0.000  0.000
Bi  0.500  0.500  0.500

Properties
As for the total DFT energy (no corrections): -2.68 eV/atom. The formation energy from the elements is 0.60 eV per atom.

=====

Computed, not measured: Li3CuPd3O8 after structural relaxation at the GGA-PBE level of DFT.

Cell lengths 6.332, 6.332, 5.652 Å; angles 113.07, 113.07, 55.06 degrees
Element x y z (fractional)
Li  0.000  0.000  0.000
Li  0.000  0.500  0.500
Li  0.500  0.000  0.500
Cu  0.000  0.000  0.500
Pd  0.000  0.500  0.000
Pd  0.500  0.000  0.000
Pd  0.500  0.500  0.500
O  0.184  0.715  0.245
O  0.208  0.208  0.205
O  0.269  0.269  0.769
O  0.285  0.816  0.755
O  0.715  0.184  0.245
O  0.731  0.731  0.231
O  0.792  0.792  0.795
O  0.816  0.285  0.755

Properties
As for the uncorrected formation energy: -863 meV/atom. As for the total DFT energy (no corrections): -5.20 eV/atom.

=====

Computed, not measured: ZrCdIr3 after structural relaxation at the GGA-PBE level of DFT.

Cell lengths 4.770, 4.770, 4.770 Å; angles 90.00, 90.00, 90.00 degrees
Element x y z (fractional)
Zr  0.000  0.000  0.000
Cd  0.500  0.500  0.500
Ir  0.000  0.500  0.500
Ir  0.500  0.000  0.500
Ir  0.500  0.500  0.000

Properties
As for the total DFT energy (no corrections): -5.62 eV/atom. The formation energy from the elements is 1.59 eV per atom.

=====

Computed, not measured: HfAl2Zn after structural relaxation at the GGA-PBE level of DFT.

Cell lengths 5.847, 5.847, 5.847 Å; angles 103.04, 103.04, 123.27 degrees
Element x y z (fractional)
Hf  0.000  0.000  0.000
Hf  0.750  0.250  0.500
Al  0.166  0.625  0.041
Al  0.375  0.416  0.541
Al  0.584  0.125  0.959
Al  0.875  0.834  0.459
Zn  0.250  0.750  0.500
Zn  0.500  0.500  0.000

Properties
As for the total DFT energy (no corrections): -4.64 eV/atom. The formation energy from the elements is 0.04 eV per atom.

=====

Computed, not measured: Dy2Zr3Ni4 after structural relaxation at the GGA-PBE level of DFT.

Cell lengths 6.837, 6.915, 7.775 Å; angles 90.00, 109.66, 90.00 degrees
Element x y z (fractional)
Dy  0.198  0.168  0.094
Dy  0.198  0.332  0.594
Dy  0.802  0.668  0.406
Dy  0.802  0.832  0.906
Zr  0.244  0.651  0.252
Zr  0.244  0.849  0.752
Zr  0.500  0.000  0.500
Zr  0.500  0.500  0.000
Zr  0.756  0.151  0.248
Zr  0.756  0.349  0.748
Ni  0.099  0.549  0.893
Ni  0.099  0.951  0.393
Ni  0.484  0.634  0.610
Ni  0.484  0.866  0.110
Ni  0.516  0.134  0.890
Ni  0.516  0.366  0.390
Ni  0.901  0.049  0.607
Ni  0.901  0.451  0.107

Properties
As for the total DFT energy (no corrections): -6.81 eV/atom. The formation energy from the elements is -0.37 eV per atom.